# TeIrPt3

A relaxed structure of TeIrPt3 (PBE, the Alexandria database).

Properties
**Total energy**: -4.864 eV per atom
**Formation energy without anion corrections**: 1.161 eV/atom
**Volume**: 23.0 Å³ per atom
**Magnetic moment**: 0.000 Bohr magnetons per cell

Cell lengths 4.8602, 4.8602, 4.8602 Å; angles 90.00, 90.00, 90.00 degrees
Closest atoms and distances in Å follow each position.
Positions (direct):
Pt 0.0000 0.0000 0.5000  2 Ir 2.43
Te 0.5000 0.5000 0.5000  12 Pt 3.44
Pt 0.0000 0.5000 0.0000  2 Ir 2.43
Ir 0.0000 0.0000 0.0000  6 Pt 2.43
Pt 0.5000 0.0000 0.0000  2 Ir 2.43